# Nd2Sc3Rh2

A relaxed Nd2Sc3Rh2 crystal (PBE-GGA, the Alexandria database).

POSCAR file:
```
Nd2Sc3Rh2
1.0
11.805 0.000 0.000
0.000 3.680 0.000
-3.987 0.000 7.652
Nd Sc Rh
4 6 4
direct
0.155 0.000 0.300
0.345 0.500 0.700
0.655 0.500 0.300
0.845 0.000 0.700
0.000 0.500 0.500
0.122 0.500 0.934
0.378 0.000 0.066
0.500 0.000 0.500
0.622 0.000 0.934
0.878 0.500 0.066
0.162 0.000 0.740
0.338 0.500 0.260
0.662 0.500 0.740
0.838 0.000 0.260
```

Calculated values
Calculated formation energy ... -372 kJ/mol of formula units
DOS at the Fermi energy ... 15.3 states/eV/cell
Calculated volume ... 23.7 Å³/atom